No. 1
Density functional theory data (GGA+U) for a relaxed structure of LaCrS2O.

```
LaCrS2O
1.0
8.5335 0.0000 0.0000
0.0000 3.7573 0.0000
0.0000 0.0000 11.2999
La Cr S O
4 4 8 4
Direct
0.0460 0.2500 0.1477
0.4540 0.7500 0.6477
0.5460 0.2500 0.3523
0.9540 0.7500 0.8523
0.1695 0.2500 0.4720
0.3305 0.7500 0.9720
0.6695 0.2500 0.0280
0.8305 0.7500 0.5280
0.0970 0.7500 0.6023
0.2422 0.7500 0.3315
0.2578 0.2500 0.8315
0.4030 0.2500 0.1023
0.5970 0.7500 0.8977
0.7422 0.7500 0.1685
0.7578 0.2500 0.6685
0.9030 0.2500 0.3977
0.1126 0.7500 0.0367
0.3874 0.2500 0.5367
0.6126 0.7500 0.4633
0.8874 0.2500 0.9633
```

No. 2
Density functional theory data (GGA+U) for a relaxed structure of LaCrSO2.

```
LaCrSO2
1.0
2.6856 -6.0077 0.0000
2.6856 6.0077 0.0000
0.0000 0.0000 5.3239
La Cr S O
2 2 2 4
Direct
0.1285 0.8715 0.7500
0.8715 0.1285 0.2500
0.4477 0.5523 0.7500
0.5523 0.4477 0.2500
0.2558 0.7442 0.2500
0.7442 0.2558 0.7500
0.2627 0.2627 0.0000
0.2627 0.2627 0.5000
0.7373 0.7373 0.0000
0.7373 0.7373 0.5000
```

No. 3
Density functional theory data (GGA+U) for a relaxed structure of LaZnCrSbO6.

```
LaZnCrSbO6
1.0
5.4111 0.0000 0.0000
0.0000 5.6828 0.0000
-5.3072 0.0000 8.6106
La Zn Cr Sb O
2 2 2 2 12
Direct
0.0000 0.2195 0.0000
0.0000 0.7805 0.5000
0.4839 0.1375 0.4975
0.4839 0.8625 0.9975
0.2217 0.2657 0.7469
0.2217 0.7343 0.2469
0.7247 0.2564 0.2552
0.7247 0.7436 0.7552
0.0834 0.0442 0.3191
0.0834 0.9558 0.8191
0.3700 0.4405 0.1968
0.3700 0.5595 0.6968
0.4685 0.0510 0.6886
0.4685 0.9490 0.1886
0.5999 0.2378 0.0303
0.5999 0.7622 0.5303
0.8123 0.2175 0.4745
0.8123 0.7825 0.9745
0.9692 0.4611 0.8047
0.9692 0.5389 0.3047
```

No. 4
Density functional theory data (GGA+U) for a relaxed structure of LaScCr2O8.

```
LaScCr2O8
1.0
-3.6118 3.6118 3.1485
3.6118 -3.6118 3.1485
3.6118 3.6118 -3.1485
La Sc Cr O
1 1 2 8
Direct
0.0000 0.0000 0.0000
0.7500 0.2500 0.5000
0.2500 0.7500 0.5000
0.5000 0.5000 0.0000
0.0632 0.3895 0.3263
0.0632 0.7369 0.6737
0.1431 0.3356 0.8075
0.2631 0.9368 0.3263
0.5281 0.3356 0.1925
0.6105 0.9368 0.6737
0.6644 0.4719 0.8075
0.6644 0.8569 0.1925
```

No. 5
Density functional theory data (GGA+U) for a relaxed structure of LaCrSe2O.

DOS(E_F), states/eV per atom: 0.1661
E above lowest polymorph, eV per atom: 0.001

```
LaCrSe2O
1.0
5.9129 -1.9783 0.0000
5.9129 1.9783 0.0000
-0.0180 0.0000 8.4721
La Cr Se O
2 2 4 2
Direct
0.2274 0.2274 0.1910
0.7726 0.7726 0.8090
0.0000 0.0000 0.5000
0.5000 0.5000 0.0000
0.0458 0.0458 0.8014
0.3597 0.3597 0.5277
0.6403 0.6403 0.4723
0.9542 0.9542 0.1986
0.3324 0.3324 0.9416
0.6676 0.6676 0.0584
```

No. 6
Density functional theory data (GGA+U) for a relaxed structure of LaCrSe2O.

DOS(E_F), states/eV per atom: 0.0009
E above lowest polymorph, eV per atom: 0.000

```
LaCrSe2O
1.0
8.7939 0.0000 0.0000
0.0000 3.9005 0.0000
0.0000 0.0000 11.7164
La Cr Se O
4 4 8 4
Direct
0.0473 0.2500 0.1382
0.4527 0.7500 0.6382
0.5473 0.2500 0.3618
0.9527 0.7500 0.8618
0.1758 0.2500 0.4737
0.3242 0.7500 0.9737
0.6758 0.2500 0.0263
0.8242 0.7500 0.5263
0.0949 0.7500 0.6066
0.2482 0.7500 0.3298
0.2518 0.2500 0.8298
0.4051 0.2500 0.1066
0.5949 0.7500 0.8934
0.7482 0.7500 0.1702
0.7518 0.2500 0.6702
0.9051 0.2500 0.3934
0.1094 0.7500 0.0359
0.3906 0.2500 0.5359
0.6094 0.7500 0.4641
0.8906 0.2500 0.9641
```

No. 7
Density functional theory data (GGA+U) for a relaxed structure of LaCrSe2O.

DOS(E_F), states/eV per atom: 0.3027
E above lowest polymorph, eV per atom: 0.269

```
LaCrSe2O
1.0
1.9296 -5.9321 0.0000
1.9296 5.9321 0.0000
0.0000 0.0000 9.0489
La Cr Se O
2 2 4 2
Direct
0.1914 0.8086 0.7500
0.8086 0.1914 0.2500
0.5000 0.5000 0.0000
0.5000 0.5000 0.5000
0.1326 0.8674 0.0702
0.1326 0.8674 0.4298
0.8674 0.1326 0.5702
0.8674 0.1326 0.9298
0.4194 0.5806 0.2500
0.5806 0.4194 0.7500
```

No. 8
Density functional theory data (GGA+U) for a relaxed structure of La2CrSiO6.

DOS(E_F), states/eV per atom: 0.2387

```
La2CrSiO6
1.0
5.3421 0.0000 0.0000
0.0000 5.3421 0.0000
0.0000 0.0000 4.0565
La Cr Si O
2 1 1 6
Direct
0.0000 0.5000 0.0000
0.5000 0.0000 0.0000
0.0000 0.0000 0.5327
0.5000 0.5000 0.4955
0.0000 0.0000 0.0342
0.2706 0.2706 0.5583
0.2706 0.7294 0.5583
0.5000 0.5000 0.0736
0.7294 0.2706 0.5583
0.7294 0.7294 0.5583
```

No. 9
Density functional theory data (GGA+U) for a relaxed structure of LaSmCr2O8.

DOS(E_F), states/eV per atom: 0.0846

```
LaSmCr2O8
1.0
-3.7200 3.7200 3.2325
3.7200 -3.7200 3.2325
3.7200 3.7200 -3.2325
La Sm Cr O
1 1 2 8
Direct
0.0000 0.0000 0.0000
0.7500 0.2500 0.5000
0.2500 0.7500 0.5000
0.5000 0.5000 0.0000
0.0789 0.4011 0.3222
0.0789 0.7567 0.6778
0.1522 0.3349 0.8172
0.2433 0.9211 0.3222
0.5177 0.3349 0.1828
0.5989 0.9211 0.6778
0.6651 0.4823 0.8172
0.6651 0.8478 0.1828
```

No. 10
Density functional theory data (GGA+U) for a relaxed structure of La3SmCr4O12.

DOS(E_F), states/eV per atom: 0.0000

```
La3SmCr4O12
1.0
5.5294 0.0000 0.0000
0.0000 7.8562 0.0000
-0.0068 0.0000 5.6173
La Sm Cr O
3 1 4 12
Direct
0.0000 0.0000 0.0000
0.0187 0.5000 0.0836
0.5003 0.5000 0.5805
0.5220 0.0000 0.4898
0.0096 0.2477 0.5422
0.0096 0.7523 0.5422
0.5080 0.2484 0.0402
0.5080 0.7516 0.0402
0.1051 0.0000 0.5613
0.2155 0.2928 0.8339
0.2155 0.7072 0.8339
0.2998 0.2922 0.3320
0.2998 0.7078 0.3320
0.4268 0.0000 0.0717
0.5907 0.5000 0.0201
0.7140 0.2001 0.7472
0.7140 0.7999 0.7472
0.7952 0.2025 0.2556
0.7952 0.7975 0.2556
0.9281 0.5000 0.5230
```

No. 11
Density functional theory data (GGA+U) for a relaxed structure of LaCrSnO6.

```
LaCrSnO6
1.0
5.5067 0.0000 0.0000
-2.7140 4.7960 0.0000
-0.0559 -3.1690 4.5172
La Cr Sn O
1 1 1 6
Direct
0.0000 0.0000 0.0000
0.2391 0.4935 0.7488
0.7435 0.4974 0.2519
0.0331 0.4640 0.0319
0.0438 0.0275 0.5492
0.4320 0.9794 0.9898
0.4486 0.5089 0.4865
0.5665 0.5771 0.9938
0.9474 0.4677 0.5481
```

No. 12
Density functional theory data (GGA+U) for a relaxed structure of Sr2LaCrO6.

DOS(E_F), states/eV per atom: 0.3663

```
Sr2LaCrO6
1.0
0.0000 4.2021 4.2021
4.2021 0.0000 4.2021
4.2021 4.2021 0.0000
Sr La Cr O
2 1 1 6
Direct
0.2500 0.2500 0.2500
0.7500 0.7500 0.7500
0.0000 0.0000 0.0000
0.5000 0.5000 0.5000
0.2754 0.2754 0.7246
0.2754 0.7246 0.2754
0.2754 0.7246 0.7246
0.7246 0.2754 0.2754
0.7246 0.2754 0.7246
0.7246 0.7246 0.2754
```

no.,DFT total energy (eV per atom)
1,-7.061
2,-7.360
3,-6.716
4,-7.699
5,-6.708
6,-6.709
7,-6.441
8,-7.892
9,-7.676
10,-8.225
11,-6.967
12,-6.902